# GGA+U Ba2MnCO, relaxed
# Mass density   4.77 g/cm3
# Energy   -23.2 eV per cell
data_Ba2MnCO
_cell_length_a 5.3858
_cell_length_b 5.3858
_cell_length_c 4.2873
_cell_angle_alpha 90.00
_cell_angle_beta 90.00
_cell_angle_gamma 90.00
_space_group_name_H-M_alt 'P 4/m m m'
_space_group_IT_number 123
_space_group_name_Hall '-P 4 2'
loop_
_atom_site_label
_atom_site_type_symbol
_atom_site_fract_x
_atom_site_fract_y
_atom_site_fract_z
Ba1 Ba 0.0000 0.5000 0.0000
Mn1 Mn 0.0000 0.0000 0.5000
C1 C 0.5000 0.5000 0.5000
O1 O 0.5000 0.5000 0.0000